DFT (PBE) results for a relaxed structure of Ho4AlAgHg2. Values from VASP.

Results
Formation enthalpy at 0 K ... -0.4044 eV/atom
Space-group type ... R-3m (166)

Structure (Quantum ESPRESSO input):
```
&SYSTEM
  ibrav = 0, nat = 8, ntyp = 4
/
ATOMIC_SPECIES
Ho 164.93 Ho.upf
Hg 200.59 Hg.upf
Ag 107.87 Ag.upf
Al 26.98 Al.upf
ATOMIC_POSITIONS crystal
Ho 0.375 0.375 0.875
Hg 0.750 0.750 0.751
Ag 0.500 0.500 0.500
Hg 0.250 0.250 0.249
Ho 0.125 0.125 0.626
Al 0.000 0.000 0.000
Ho 0.875 0.875 0.374
Ho 0.625 0.625 0.125
CELL_PARAMETERS angstrom
-2.239 -3.947 2.487
2.197 -4.685 -0.074
4.347 -0.943 7.800
```

=====

DFT (PBE) results for a relaxed structure of Cs2NaHg6Au. Values from VASP.

Results
Formation enthalpy at 0 K ... -0.1843 eV/atom
Space-group type ... Fm-3m (225)

Structure (Quantum ESPRESSO input):
```
&SYSTEM
  ibrav = 0, nat = 10, ntyp = 4
/
ATOMIC_SPECIES
Hg 200.59 Hg.upf
Cs 132.91 Cs.upf
Na 22.99 Na.upf
Au 196.97 Au.upf
ATOMIC_POSITIONS crystal
Hg 0.244 0.756 0.000
Hg 0.756 0.756 0.000
Cs 0.250 0.750 0.500
Hg 0.244 0.244 0.000
Hg 0.756 0.244 0.000
Hg 0.756 0.756 0.489
Na 0.500 0.500 0.000
Hg 0.244 0.244 0.511
Cs 0.750 0.250 0.500
Au 0.000 0.000 0.000
CELL_PARAMETERS angstrom
-2.902 -4.688 6.148
6.597 -4.925 -0.642
4.698 -1.494 6.625
```

=====

DFT (PBE) results for a relaxed structure of TiCd3Ni. Values from VASP.

Results
E above lowest polymorph ... 0.000 eV/atom
Formation enthalpy at 0 K ... 0.5568 eV/atom
Space-group type ... Pm-3m (221)

Structure (Quantum ESPRESSO input):
```
&SYSTEM
  ibrav = 0, nat = 5, ntyp = 3
/
ATOMIC_SPECIES
Cd 112.41 Cd.upf
Ti 47.87 Ti.upf
Ni 58.69 Ni.upf
ATOMIC_POSITIONS crystal
Cd 0.500 0.000 0.000
Cd 0.000 0.500 0.000
Cd 0.000 0.000 0.500
Ti 0.500 0.500 0.500
Ni 0.000 0.000 0.000
CELL_PARAMETERS angstrom
-4.263 -1.931 -1.085
0.720 -3.433 3.282
-2.095 2.750 3.336
```

=====

DFT (PBE) results for a relaxed structure of YTc2Pb. Values from VASP.

Results
Formation enthalpy at 0 K ... 0.5053 eV/atom
Space-group type ... Immm (71)

Structure (Quantum ESPRESSO input):
```
&SYSTEM
  ibrav = 0, nat = 4, ntyp = 3
/
ATOMIC_SPECIES
Tc 98.00 Tc.upf
Pb 207.20 Pb.upf
Y 88.91 Y.upf
ATOMIC_POSITIONS crystal
Tc 0.002 0.002 0.000
Pb 0.750 0.250 0.500
Tc 0.498 0.498 0.000
Y 0.250 0.750 0.500
CELL_PARAMETERS angstrom
-4.403 3.137 0.971
-3.305 -1.975 3.918
5.169 1.627 -0.896
```

=====

DFT (PBE) results for a relaxed structure of TbDy4Ho4. Values from VASP.

Results
Formation enthalpy at 0 K ... 0.0191 eV/atom
Space-group type ... I4/mmm (139)

Structure (Quantum ESPRESSO input):
```
&SYSTEM
  ibrav = 0, nat = 9, ntyp = 3
/
ATOMIC_SPECIES
Tb 158.93 Tb.upf
Dy 162.50 Dy.upf
Ho 164.93 Ho.upf
ATOMIC_POSITIONS crystal
Tb 0.000 0.000 0.000
Dy 0.333 0.667 0.667
Dy 0.000 0.333 0.667
Ho 0.333 0.333 0.000
Ho 0.667 0.667 0.000
Ho 0.667 0.000 0.667
Dy 0.667 0.333 0.333
Ho 0.333 0.000 0.333
Dy 0.000 0.667 0.333
CELL_PARAMETERS angstrom
-4.160 -1.791 2.072
-2.958 -5.559 -4.758
1.943 -6.100 4.616
```

=====

DFT (PBE) results for a relaxed structure of CaSiNi2. Values from VASP.

Results
Energy relative to the elements, uncorrected ... -0.16 eV/atom
Space-group type ... P4mm (99)

Structure (Quantum ESPRESSO input):
```
&SYSTEM
  ibrav = 0, nat = 4, ntyp = 3
/
ATOMIC_SPECIES
Ni 58.69 Ni.upf
Si 28.09 Si.upf
Ca 40.08 Ca.upf
ATOMIC_POSITIONS crystal
Ni 0.000 0.000 0.060
Si 0.000 0.000 0.417
Ca 0.500 0.500 0.758
Ni 0.500 0.500 0.264
CELL_PARAMETERS angstrom
-2.014 2.362 -0.305
-2.352 -1.914 0.729
0.750 1.438 6.195
```

=====

DFT (PBE) results for a relaxed structure of ZnBi2N. Values from VASP.

Results
E above lowest polymorph ... 0.401 eV/atom
Energy relative to the elements, uncorrected ... 1.01 eV/atom
Space-group type ... Fm-3m (225)

Structure (Quantum ESPRESSO input):
```
&SYSTEM
  ibrav = 0, nat = 4, ntyp = 3
/
ATOMIC_SPECIES
Zn 65.41 Zn.upf
Bi 208.98 Bi.upf
N 14.01 N.upf
ATOMIC_POSITIONS crystal
Zn 0.500 0.500 0.500
Bi 0.750 0.750 0.750
Bi 0.250 0.250 0.250
N 0.000 0.000 0.000
CELL_PARAMETERS angstrom
-2.499 -4.025 -1.168
-4.027 -1.180 2.490
-4.378 0.376 -2.121
```

=====

DFT (PBE) results for a relaxed structure of InHgBr2. Values from VASP.

Results
E above lowest polymorph ... 0.248 eV/atom
Energy relative to the elements, uncorrected ... -0.32 eV/atom
Space-group type ... Fm-3m (225)

Structure (Quantum ESPRESSO input):
```
&SYSTEM
  ibrav = 0, nat = 4, ntyp = 3
/
ATOMIC_SPECIES
Hg 200.59 Hg.upf
In 114.82 In.upf
Br 79.90 Br.upf
ATOMIC_POSITIONS crystal
Hg 0.500 0.500 0.500
In 0.000 0.000 0.000
Br 0.750 0.750 0.750
Br 0.250 0.250 0.250
CELL_PARAMETERS angstrom
0.000 3.880 3.880
3.880 0.000 3.880
3.880 3.880 0.000
```

=====

DFT (PBE) results for a relaxed structure of Pa2ReI. Values from VASP.

Results
E above lowest polymorph ... 0.000 eV/atom
Energy relative to the elements, uncorrected ... -0.17 eV/atom
Space-group type ... R-3m (166)

Structure (Quantum ESPRESSO input):
```
&SYSTEM
  ibrav = 0, nat = 4, ntyp = 3
/
ATOMIC_SPECIES
Pa 231.04 Pa.upf
Re 186.21 Re.upf
I 126.90 I.upf
ATOMIC_POSITIONS crystal
Pa 0.271 0.271 0.186
Re 0.000 0.000 0.000
Pa 0.729 0.729 0.814
I 0.500 0.500 0.500
CELL_PARAMETERS angstrom
-1.694 1.026 -3.562
1.270 -1.769 -3.445
-5.456 -5.844 -1.421
```

=====

DFT (PBE) results for a relaxed structure of IrOF2. Values from VASP.

Results
E above lowest polymorph ... 1.477 eV/atom
Energy relative to the elements, uncorrected ... 0.63 eV/atom
Space-group type ... Fm-3m (225)

Structure (Quantum ESPRESSO input):
```
&SYSTEM
  ibrav = 0, nat = 4, ntyp = 3
/
ATOMIC_SPECIES
F 19.00 F.upf
Ir 192.22 Ir.upf
O 16.00 O.upf
ATOMIC_POSITIONS crystal
F 0.250 0.250 0.250
F 0.750 0.750 0.750
Ir 0.500 0.500 0.500
O 0.000 0.000 0.000
CELL_PARAMETERS angstrom
0.000 2.706 2.706
2.706 0.000 2.706
2.706 2.706 0.000
```

=====

DFT (PBE) results for a relaxed structure of BaZn2Br. Values from VASP.

Results
E above lowest polymorph ... 0.056 eV/atom
Energy relative to the elements, uncorrected ... -0.57 eV/atom
Space-group type ... C2/m (12)

Structure (Quantum ESPRESSO input):
```
&SYSTEM
  ibrav = 0, nat = 4, ntyp = 3
/
ATOMIC_SPECIES
Br 79.90 Br.upf
Zn 65.41 Zn.upf
Ba 137.33 Ba.upf
ATOMIC_POSITIONS crystal
Br 0.250 0.250 0.250
Zn 0.500 0.500 0.243
Ba 0.750 0.750 0.750
Zn 0.000 0.000 0.257
CELL_PARAMETERS angstrom
6.268 -0.309 -0.613
4.421 4.454 -0.613
0.379 0.147 4.165
```

=====

DFT (PBE) results for a relaxed structure of Ga3AsPt. Values from VASP.

Results
E above lowest polymorph ... 0.000 eV/atom
Formation enthalpy at 0 K ... -0.0193 eV/atom
Space-group type ... Pm-3m (221)

Structure (Quantum ESPRESSO input):
```
&SYSTEM
  ibrav = 0, nat = 5, ntyp = 3
/
ATOMIC_SPECIES
As 74.92 As.upf
Ga 69.72 Ga.upf
Pt 195.08 Pt.upf
ATOMIC_POSITIONS crystal
As 0.500 0.500 0.500
Ga 0.500 0.000 0.000
Ga 0.000 0.500 0.000
Ga 0.000 0.000 0.500
Pt 0.000 0.000 0.000
CELL_PARAMETERS angstrom
4.829 0.000 0.000
0.000 4.829 0.000
0.000 0.000 4.829
```

=====

no.,Fermi-level density of states (states/eV/f.u.)
1,6.008
2,4.775
3,5.882
4,5.956
5,12.804
6,3.367
7,2.612
8,6.275
9,5.112
10,8.198
11,1.880
12,3.806